No. 1
{
  "formula": "RbBS2",
  "functional": "PBE",
  "state": "relaxed",
  "cell": [[-2.121, 0.866, 2.333], [-3.713, -3.372, -2.124], [4.123, -3.452, 5.019]],
  "species": ["Rb", "B", "S", "S"],
  "frac_coords": [[0.561, 0.470, 0.964], [0.060, 0.788, 0.608], [0.061, 0.921, 0.862], [0.560, 0.706, 0.455]],
  "raw_formation_energy_ev_per_atom": -0.613
}

---

No. 2
{
  "formula": "RbBS3",
  "functional": "PBE",
  "state": "relaxed",
  "cell": [[7.697, -0.175, -0.201], [-0.526, 9.434, -1.174], [-0.526, -2.459, 9.184]],
  "species": ["Rb", "Rb", "Rb", "Rb", "B", "B", "B", "B", "S", "S", "S", "S", "S", "S", "S", "S", "S", "S", "S", "S"],
  "frac_coords": [[0.776, 0.419, 0.105], [0.724, 0.895, 0.581], [0.224, 0.581, 0.895], [0.276, 0.105, 0.419], [0.250, 0.186, 0.814], [0.750, 0.814, 0.186], [0.250, 0.588, 0.412], [0.750, 0.412, 0.588], [0.657, 0.498, 0.773], [0.843, 0.227, 0.502], [0.343, 0.502, 0.227], [0.157, 0.773, 0.498], [0.965, 0.800, 0.181], [0.535, 0.819, 0.200], [0.035, 0.200, 0.819], [0.465, 0.181, 0.800], [0.147, 0.387, 0.308], [0.353, 0.692, 0.613], [0.853, 0.613, 0.692], [0.647, 0.308, 0.387]],
  "raw_formation_energy_ev_per_atom": -0.556
}